Density functional theory data (PBE) for Ga2CuAu after structural relaxation.

Calculated values
E: -13.45 eV per formula unit
Formation energy: -0.007 eV/atom
M_tot: 0.000 μB/f.u.

Lattice parameters (Å, degrees): 3.105 3.105 6.740 90.00 90.00 90.00
Sites, in units of the cell vectors:
Ga  0.000  0.000  0.227
Ga  0.000  0.000  0.773
Cu  0.500  0.500  0.000
Au  0.500  0.500  0.500